Compound: NaLaTm4Se8
Source: Alexandria
Functional: PBE-GGA
Structure: relaxed

Calculated values
* SG: R3m (160)
* E_tot: -5.482 eV/atom
* calculated density: 5.704 g cm⁻³
* spin magnetization: 0.000 Bohr magnetons per cell
* formation energy (no corrections): -1767.3 meV/atom
* crystal system: trigonal
* volume: 427.77 Å³ per cell

Cell and atoms, written as POSCAR:
```
NaLaTm4Se8
1.0
4.182 2.415 7.060
-4.182 2.415 7.060
0.000 -4.829 7.060
Na La Tm Se
1 1 4 8
Direct
0.000 0.000 0.000
0.632 0.632 0.632
0.114 0.634 0.634
0.255 0.255 0.255
0.634 0.114 0.634
0.634 0.634 0.114
0.377 0.377 0.860
0.377 0.860 0.377
0.387 0.387 0.387
0.407 0.877 0.877
0.860 0.377 0.377
0.867 0.867 0.867
0.877 0.407 0.877
0.877 0.877 0.407
```